{"formula": "SiTc2Ir", "functional": "PBE", "state": "relaxed", "cell": [[5.114, -0.002, 0.003], [2.412, 4.510, -0.003], [-3.225, -3.153, 2.412]], "species": ["Ir", "Tc", "Tc", "Si"], "fractional_positions": [[0.471, 0.471, 0.000], [0.752, 0.252, 0.500], [0.026, 0.026, 0.000], [0.251, 0.751, 0.500]], "total_energy_ev_per_cell": -36.257, "m_tot_mub_per_fu": 0.00, "rho_g_cm3": 12.4, "raw_formation_energy_ev_per_fu": -1.24, "space_group": "Imm2 (44)"}

=====

{"formula": "ZrSn2BSe", "functional": "PBE", "state": "relaxed", "cell": [[4.720, 0.000, 0.000], [0.000, 4.736, 0.000], [0.000, 0.000, 4.720]], "species": ["Se", "B", "Sn", "Sn", "Zr"], "fractional_positions": [[0.000, 0.500, 0.000], [0.000, 0.000, 0.000], [0.500, 0.000, 0.000], [0.000, 0.000, 0.500], [0.500, 0.500, 0.500]], "total_energy_ev_per_cell": -23.767, "m_tot_mub_per_fu": 0.00, "rho_g_cm3": 6.6, "raw_formation_energy_ev_per_fu": 2.95, "space_group": "P4/mmm (123)"}

=====

{"formula": "LiPm2Si3Rh4", "functional": "PBE", "state": "relaxed", "cell": [[-3.132, 1.633, -2.116], [0.617, -2.729, -3.020], [-6.359, -6.393, 4.477]], "species": ["Rh", "Rh", "Rh", "Rh", "Si", "Si", "Si", "Pm", "Pm", "Li"], "fractional_positions": [[0.500, 0.500, 0.000], [0.000, 0.000, 0.000], [0.500, 0.000, 0.633], [0.000, 0.500, 0.367], [0.000, 0.000, 0.500], [0.500, 0.000, 0.873], [0.000, 0.500, 0.127], [0.000, 0.500, 0.747], [0.500, 0.000, 0.253], [0.500, 0.500, 0.500]], "total_energy_ev_per_cell": -66.679, "m_tot_mub_per_fu": 0.00, "rho_g_cm3": 7.7, "raw_formation_energy_ev_per_fu": -9.59, "space_group": "P-4m2 (115)"}

=====

{"formula": "K2RbSbBr6", "functional": "PBE", "state": "relaxed", "cell": [[-1.984, -0.185, 8.311], [-8.125, 0.945, 2.476], [-4.286, -6.654, 3.223]], "species": ["Br", "Br", "Br", "Br", "Br", "Br", "K", "K", "Sb", "Rb"], "fractional_positions": [[0.768, 0.232, 0.768], [0.232, 0.768, 0.232], [0.768, 0.232, 0.232], [0.232, 0.768, 0.768], [0.768, 0.768, 0.232], [0.232, 0.232, 0.768], [0.250, 0.250, 0.250], [0.750, 0.750, 0.750], [0.000, 0.000, 0.000], [0.500, 0.500, 0.500]], "total_energy_ev_per_cell": -29.433, "m_tot_mub_per_fu": 0.00, "rho_g_cm3": 2.9, "raw_formation_energy_ev_per_fu": -12.11, "space_group": "Fm-3m (225)"}